Entry 1:
Below is a geometry-optimized Dy2InS4 structure, with properties calculated at the PBE level.

Output
space group	C2/m, No. 12
total magnetization	0.0	μB/f.u.
V	25.882	A^3/atom
energy	-0.2051	Ha/atom

a = 3.9699 Å, b = 6.9543 Å, c = 7.7836 Å
α = 118.26°, β = 104.77°, γ = 90.00°
Atoms (fractional coordinates):
S: 0.3565 0.7114 0.7129
S: 0.8699 0.1861 0.7397
S: 0.6435 0.2886 0.2871
S: 0.1301 0.8139 0.2603
In: 0.0000 0.0000 0.0000
Dy: 0.2714 0.2624 0.5428
Dy: 0.7286 0.7376 0.4572

=====

Entry 2:
Below is a geometry-optimized Pr4TlSe2S structure, with properties calculated at the PBE level.

Output
space group	P2/m, No. 10
total magnetization	0.0	μB/f.u.
V	28.340	A^3/atom
energy	-0.2041	Ha/atom

a = 4.2518 Å, b = 7.5013 Å, c = 7.5127 Å
α = 108.88°, β = 90.00°, γ = 90.00°
Atoms (fractional coordinates):
Se: 0.0000 0.5000 0.5000
Se: 0.5000 0.0000 0.5000
S: 0.0000 0.0000 0.0000
Pr: 0.5000 0.7626 0.7562
Pr: 0.5000 0.2374 0.2438
Pr: 0.0000 0.2363 0.7422
Pr: 0.0000 0.7637 0.2578
Tl: 0.5000 0.5000 0.0000

=====

Entry 3:
Below is a geometry-optimized TmThS4 structure, with properties calculated at the PBE level.

Output
space group	C2/m, No. 12
total magnetization	0.0	μB/f.u.
V	23.690	A^3/atom
energy	-0.2362	Ha/atom

a = 6.8079 Å, b = 6.1424 Å, c = 6.7983 Å
α = 90.00°, β = 89.93°, γ = 90.00°
Atoms (fractional coordinates):
S: 0.2498 0.2498 0.2554
S: 0.7498 0.2502 0.2554
S: 0.2502 0.7498 0.7446
S: 0.7499 0.7497 0.2554
S: 0.2501 0.2503 0.7446
S: 0.2499 0.7503 0.2554
S: 0.7501 0.2497 0.7446
S: 0.7502 0.7502 0.7446
Th: 0.0000 0.0000 0.0000
Th: 0.5000 0.5000 0.0000
Tm: 0.0000 0.5000 0.5000
Tm: 0.5000 0.0000 0.5000

=====

Entry 4:
Below is a geometry-optimized LiCaBr structure, with properties calculated at the PBE level.

Output
space group	Amm2, No. 38
total magnetization	0.4	μB/f.u.
V	28.950	A^3/atom
energy	-0.0992	Ha/atom

a = 3.8729 Å, b = 3.8708 Å, c = 13.3816 Å
α = 90.00°, β = 90.00°, γ = 120.02°
Site moments in Bohr magnetons follow the coordinates.
Atoms (fractional coordinates):
Br: 0.1116 0.2233 0.3440  0.02
Br: 0.1116 0.2233 0.6560  0.02
Ca: 0.4450 0.8900 0.5000  0.20
Ca: 0.4428 0.8856 0.0000  0.00
Li: 0.7778 0.5555 0.2181  0.00
Li: 0.7778 0.5555 0.7819  0.00

=====

Look up the V of the first one.
25.882 A^3/atom